# 1
Here is a relaxed structure of Li5Zn2Au12 from Alexandria. Energies are from PBE.

Computed properties:
Energy of formation from the pure elements   -429 kJ/mol of formula units
SG   C2/m
VASP energy   -2.942 eV per atom
Total magnetization   0.000 μB/cell

Cell: 8.263 8.263 8.555 Å, 108.42 108.42 39.17°
Fractional coordinates of all 19 atoms:
1 Li 0.000 0.000 0.000
2 Li 0.291 0.291 0.111
3 Li 0.355 0.355 0.650
4 Li 0.645 0.645 0.350
5 Li 0.709 0.709 0.889
6 Zn 0.257 0.743 0.500
7 Zn 0.743 0.257 0.500
8 Au 0.050 0.554 0.385
9 Au 0.085 0.085 0.772
10 Au 0.108 0.604 0.911
11 Au 0.396 0.892 0.089
12 Au 0.446 0.950 0.615
13 Au 0.472 0.472 0.212
14 Au 0.528 0.528 0.788
15 Au 0.554 0.050 0.385
16 Au 0.604 0.108 0.911
17 Au 0.892 0.396 0.089
18 Au 0.915 0.915 0.228
19 Au 0.950 0.446 0.615

# 2
Here is a relaxed structure of LiZn2Au3 from Alexandria. Energies are from PBE.

Computed properties:
Energy of formation from the pure elements   -170 kJ/mol of formula units
SG   C2/m
VASP energy   -2.677 eV per atom
ΔE to the lowest computed polymorph   47 meV/atom
Total magnetization   0.000 μB/cell

Cell: 8.614 8.614 5.746 Å, 96.66 96.66 28.77°
Fractional coordinates of all 12 atoms:
1 Li 0.142 0.142 0.244
2 Li 0.858 0.858 0.756
3 Zn 0.222 0.222 0.827
4 Zn 0.475 0.475 0.726
5 Zn 0.525 0.525 0.274
6 Zn 0.778 0.778 0.173
7 Au 0.068 0.068 0.657
8 Au 0.316 0.316 0.492
9 Au 0.370 0.370 0.031
10 Au 0.630 0.630 0.969
11 Au 0.684 0.684 0.508
12 Au 0.932 0.932 0.343

# 3
Here is a relaxed structure of LiZn2Au5 from Alexandria. Energies are from PBE.

Computed properties:
Energy of formation from the pure elements   -152 kJ/mol of formula units
SG   Immm
VASP energy   -2.803 eV per atom
ΔE to the lowest computed polymorph   80 meV/atom
Total magnetization   0.000 μB/cell

Cell: 7.067 7.067 7.067 Å, 155.31 106.30 79.09°
Fractional coordinates of all 8 atoms:
1 Li 0.000 0.000 0.000
2 Zn 0.255 0.755 0.500
3 Zn 0.745 0.245 0.500
4 Au 0.125 0.370 0.755
5 Au 0.385 0.630 0.755
6 Au 0.500 0.000 0.500
7 Au 0.615 0.370 0.245
8 Au 0.875 0.630 0.245

# 4
Here is a relaxed structure of LiZnAu2 from Alexandria. Energies are from PBE.

Computed properties:
Energy of formation from the pure elements   -71 kJ/mol of formula units
SG   R3m
VASP energy   -2.621 eV per atom
Total magnetization   0.000 μB/cell

Cell: 9.311 9.311 9.311 Å, 17.97 17.97 17.97°
Fractional coordinates of all 4 atoms:
1 Li 0.000 0.000 0.000
2 Zn 0.749 0.749 0.749
3 Au 0.257 0.257 0.257
4 Au 0.497 0.497 0.497

# 5
Here is a relaxed structure of LiZnAu4 from Alexandria. Energies are from PBE.

Computed properties:
Energy of formation from the pure elements   -75 kJ/mol of formula units
SG   F-43m
VASP energy   -2.847 eV per atom
ΔE to the lowest computed polymorph   152 meV/atom
Total magnetization   0.000 μB/cell

Cell: 5.503 5.503 5.503 Å, 60.00 60.00 60.00°
Fractional coordinates of all 6 atoms:
1 Li 0.000 0.000 0.000
2 Zn 0.750 0.750 0.750
3 Au 0.375 0.375 0.375
4 Au 0.375 0.375 0.875
5 Au 0.375 0.875 0.375
6 Au 0.875 0.375 0.375

# 6
Here is a relaxed structure of LiZn6Au12 from Alexandria. Energies are from PBE.

Computed properties:
Energy of formation from the pure elements   -367 kJ/mol of formula units
SG   R-3
VASP energy   -2.773 eV per atom
ΔE to the lowest computed polymorph   0 meV/atom
Total magnetization   0.000 μB/cell

Cell: 7.612 7.612 7.612 Å, 110.95 110.95 110.95°
Fractional coordinates of all 19 atoms:
1 Li 0.000 0.000 0.000
2 Zn 0.048 0.353 0.573
3 Zn 0.353 0.573 0.048
4 Zn 0.427 0.952 0.647
5 Zn 0.573 0.048 0.353
6 Zn 0.647 0.427 0.952
7 Zn 0.952 0.647 0.427
8 Au 0.113 0.737 0.164
9 Au 0.164 0.113 0.737
10 Au 0.201 0.473 0.336
11 Au 0.263 0.836 0.887
12 Au 0.336 0.201 0.473
13 Au 0.473 0.336 0.201
14 Au 0.527 0.664 0.799
15 Au 0.664 0.799 0.527
16 Au 0.737 0.164 0.113
17 Au 0.799 0.527 0.664
18 Au 0.836 0.887 0.263
19 Au 0.887 0.263 0.836